(1)
Material: KGe3P
Method: DFT, GGA-PBE
State: optimized geometry

Cell and atoms, written as CIF:
```
data_KGe3P
_chemical_formula_sum 'K2 Ge6 P2'
_space_group_name_H-M_alt 'P 1 m 1'
_space_group_IT_number 6
_cell_length_a 5.304
_cell_length_b 6.053
_cell_length_c 8.461
_cell_angle_alpha 90.00
_cell_angle_beta 90.05
_cell_angle_gamma 90.00
loop_
_space_group_symop_operation_xyz
'x,y,z'
'x,-y,z'
loop_
_atom_site_label
_atom_site_type_symbol
_atom_site_fract_x
_atom_site_fract_y
_atom_site_fract_z
K1 K 0.000 0.000 0.000
K2 K 0.499 0.500 0.180
Ge1 Ge 0.351 0.000 0.339
Ge2 Ge 0.479 0.256 0.761
Ge3 Ge 0.852 0.500 0.842
Ge4 Ge 0.979 0.243 0.420
P1 P 0.140 0.500 0.619
P2 P 0.640 0.000 0.562
```

Values from the calculation:
* energy above the most stable polymorph in this dataset: 0.0 meV per atom
* Fermi-level density of states: 0.553 states/eV/f.u.
* M_tot: 0.00 μB/cell



(2)
Material: Y7Er2Pu
Method: DFT, GGA-PBE
State: optimized geometry

Cell and atoms, written as CIF:
```
data_Y7Er2Pu
_chemical_formula_sum 'Y7 Er2 Pu1'
_space_group_name_H-M_alt 'P 1 2/m 1'
_space_group_IT_number 10
_cell_length_a 6.188
_cell_length_b 3.542
_cell_length_c 14.483
_cell_angle_alpha 90.00
_cell_angle_beta 98.15
_cell_angle_gamma 90.00
loop_
_space_group_symop_operation_xyz
'x,y,z'
'-x,-y,-z'
'-x,y,-z'
'x,-y,z'
loop_
_atom_site_label
_atom_site_type_symbol
_atom_site_fract_x
_atom_site_fract_y
_atom_site_fract_z
Y1 Y 0.000 0.000 0.000
Y2 Y 0.104 0.500 0.801
Y3 Y 0.134 0.000 0.400
Y4 Y 0.399 0.000 0.197
Er1 Er 0.368 0.500 0.601
Pu1 Pu 0.500 0.500 0.000
```

Values from the calculation:
* Fermi-level density of states: 19.808 states/eV/f.u.
* M_tot: 5.97 μB/cell
* calculated total energy: -0.5017 Ry/atom



(3)
Material: Co2Re
Method: DFT, GGA-PBE
State: optimized geometry

Cell and atoms, written as CIF:
```
data_Co2Re
_chemical_formula_sum 'Co16 Re8'
_space_group_name_H-M_alt 'I 41/a m d'
_space_group_IT_number 141
_cell_length_a 3.648
_cell_length_b 3.648
_cell_length_c 21.499
_cell_angle_alpha 90.00
_cell_angle_beta 90.00
_cell_angle_gamma 90.00
loop_
_space_group_symop_operation_xyz
'x,y,z'
'-x,-y,-z'
'-y+1/4,x+3/4,z+1/4'
'y+1/4,-x+3/4,-z+1/4'
'-x+1/2,-y,z+1/2'
'x+1/2,y,-z+1/2'
'y+1/4,-x+1/4,z+3/4'
'-y+1/4,x+1/4,-z+3/4'
'x,-y,-z'
'-x,y,z'
'-y+1/4,-x+1/4,-z+3/4'
'y+1/4,x+1/4,z+3/4'
'-x+1/2,y,-z+1/2'
'x+1/2,-y,z+1/2'
'y+1/4,x+3/4,-z+1/4'
'-y+1/4,-x+3/4,z+1/4'
'x+1/2,y+1/2,z+1/2'
'-x+1/2,-y+1/2,-z+1/2'
'-y+3/4,x+1/4,z+3/4'
'y+3/4,-x+1/4,-z+3/4'
'-x,-y+1/2,z'
'x,y+1/2,-z'
'y+3/4,-x+3/4,z+1/4'
'-y+3/4,x+3/4,-z+1/4'
'x+1/2,-y+1/2,-z+1/2'
'-x+1/2,y+1/2,z+1/2'
'-y+3/4,-x+3/4,-z+1/4'
'y+3/4,x+3/4,z+1/4'
'-x,y+1/2,-z'
'x,-y+1/2,z'
'y+3/4,x+1/4,-z+3/4'
'-y+3/4,-x+1/4,z+3/4'
loop_
_atom_site_label
_atom_site_type_symbol
_atom_site_fract_x
_atom_site_fract_y
_atom_site_fract_z
Co1 Co 0.000 0.250 0.123
Co2 Co 0.000 0.250 0.792
Re1 Re 0.000 0.250 0.292
```

Values from the calculation:
* energy above the most stable polymorph in this dataset: 116.4 meV per atom
* Fermi-level density of states: 3.416 states/eV/f.u.
* M_tot: 3.97 μB/cell



(4)
Material: PuGeRh2
Method: DFT, GGA-PBE
State: optimized geometry

Cell and atoms, written as CIF:
```
data_PuGeRh2
_chemical_formula_sum 'Pu8 Ge8 Rh16'
_space_group_name_H-M_alt 'P n m a'
_space_group_IT_number 62
_cell_length_a 14.728
_cell_length_b 6.864
_cell_length_c 5.629
_cell_angle_alpha 90.00
_cell_angle_beta 90.00
_cell_angle_gamma 90.00
loop_
_space_group_symop_operation_xyz
'x,y,z'
'-x,-y,-z'
'-x+1/2,-y,z+1/2'
'x+1/2,y,-z+1/2'
'x+1/2,-y+1/2,-z+1/2'
'-x+1/2,y+1/2,z+1/2'
'-x,y+1/2,-z'
'x,-y+1/2,z'
loop_
_atom_site_label
_atom_site_type_symbol
_atom_site_fract_x
_atom_site_fract_y
_atom_site_fract_z
Pu1 Pu 0.111 0.250 0.230
Pu2 Pu 0.142 0.750 0.511
Ge1 Ge 0.074 0.750 0.019
Ge2 Ge 0.180 0.250 0.718
Rh1 Rh 0.037 0.040 0.748
Rh2 Rh 0.217 0.545 0.960
```

Values from the calculation:
* Fermi-level density of states: 11.069 states/eV/f.u.
* M_tot: 38.59 μB/cell
* calculated total energy: -0.6618 Ry/atom



Copy entry 3 word for word.
Material: Co2Re
Method: DFT, GGA-PBE
State: optimized geometry

Cell and atoms, written as CIF:
```
data_Co2Re
_chemical_formula_sum 'Co16 Re8'
_space_group_name_H-M_alt 'I 41/a m d'
_space_group_IT_number 141
_cell_length_a 3.648
_cell_length_b 3.648
_cell_length_c 21.499
_cell_angle_alpha 90.00
_cell_angle_beta 90.00
_cell_angle_gamma 90.00
loop_
_space_group_symop_operation_xyz
'x,y,z'
'-x,-y,-z'
'-y+1/4,x+3/4,z+1/4'
'y+1/4,-x+3/4,-z+1/4'
'-x+1/2,-y,z+1/2'
'x+1/2,y,-z+1/2'
'y+1/4,-x+1/4,z+3/4'
'-y+1/4,x+1/4,-z+3/4'
'x,-y,-z'
'-x,y,z'
'-y+1/4,-x+1/4,-z+3/4'
'y+1/4,x+1/4,z+3/4'
'-x+1/2,y,-z+1/2'
'x+1/2,-y,z+1/2'
'y+1/4,x+3/4,-z+1/4'
'-y+1/4,-x+3/4,z+1/4'
'x+1/2,y+1/2,z+1/2'
'-x+1/2,-y+1/2,-z+1/2'
'-y+3/4,x+1/4,z+3/4'
'y+3/4,-x+1/4,-z+3/4'
'-x,-y+1/2,z'
'x,y+1/2,-z'
'y+3/4,-x+3/4,z+1/4'
'-y+3/4,x+3/4,-z+1/4'
'x+1/2,-y+1/2,-z+1/2'
'-x+1/2,y+1/2,z+1/2'
'-y+3/4,-x+3/4,-z+1/4'
'y+3/4,x+3/4,z+1/4'
'-x,y+1/2,-z'
'x,-y+1/2,z'
'y+3/4,x+1/4,-z+3/4'
'-y+3/4,-x+1/4,z+3/4'
loop_
_atom_site_label
_atom_site_type_symbol
_atom_site_fract_x
_atom_site_fract_y
_atom_site_fract_z
Co1 Co 0.000 0.250 0.123
Co2 Co 0.000 0.250 0.792
Re1 Re 0.000 0.250 0.292
```

Values from the calculation:
* energy above the most stable polymorph in this dataset: 116.4 meV per atom
* Fermi-level density of states: 3.416 states/eV/f.u.
* M_tot: 3.97 μB/cell



> The lowest M_tot belongs to which entry?

KGe3P